The following is a GGA-PBE calculation of an optimized crystal structure of Cs2BaMoCl6, from the Alexandria database.

Geometry as extended XYZ:
```
10
Lattice="7.7878 0.0000 0.0000 0.0000 7.7878 0.0000 3.8939 3.8939 5.5066" Properties=species:S:1:pos:R:3 pbc="T T T"
Cs 7.7878 3.8939 2.7533
Cs 3.8939 7.7878 2.7533
Mo 3.8939 3.8939 0.0000
Ba 0.0000 0.0000 0.0000
Cl 3.8939 3.8939 2.4979
Cl 7.7878 7.7878 3.0087
Cl 2.1274 2.1274 0.0000
Cl 5.6604 5.6604 0.0000
Cl 5.6604 2.1274 0.0000
Cl 2.1274 5.6604 0.0000
```

energy relative to the elements, uncorrected: -1595 meV per atom
calculated density: 3.5 Mg/m³
total moment: 2.0 μB/f.u.
raw total energy: -4.149 eV per atom



The following is a GGA-PBE calculation of an optimized crystal structure of Sr2ScPb, from the Alexandria database.

Geometry as extended XYZ:
```
4
Lattice="6.2186 0.0061 -0.0054 5.0444 3.6366 -0.0054 1.1933 0.3859 6.2657" Properties=species:S:1:pos:R:3 pbc="T T T"
Pb 9.3422 3.0215 4.6912
Sc 3.1141 1.0072 1.5637
Sr 1.2852 0.4157 6.2279
Sr 6.1362 1.9846 3.1653
```

calculated density: 5.0 Mg/m³
total moment: 0.0 μB/f.u.
raw total energy: -3.288 eV per atom
E_form: 0.063 eV/atom